No. 1
Material: In3MoPb
Method: DFT, PBE-GGA
State: optimized geometry

Lattice parameters (Å, degrees): 5.7768 5.7768 5.7768 90.00 90.00 90.00
With the nearest neighbours (Å) after each atom.
Space group Pm-3m (No. 221)
One atom of each set of equivalent atoms:
In  0.0000  0.0000  0.5000  2 Pb 2.89
Mo  0.5000  0.5000  0.5000  12 In 4.08
Pb  0.0000  0.0000  0.0000  6 In 2.89

Output
crystal system: cubic
volume: 193 Å³/f.u.
excess energy over the best structure of this formula in the dataset: 0.860 eV per atom
DFT formation energy: 133.35 kJ/mol of atoms

No. 2
Material: Y2MnReOs
Method: DFT, PBE-GGA
State: optimized geometry

Lattice parameters (Å, degrees): 4.9906 4.9906 4.3068 90.00 90.00 90.00
With the nearest neighbours (Å) after each atom.
Space group P4/mmm (No. 123)
One atom of each set of equivalent atoms:
Y  0.0000  0.5000  0.0000  2 Mn 2.50
Mn  0.0000  0.0000  0.0000  2 Re 2.15
Re  0.0000  0.0000  0.5000  2 Mn 2.15
Os  0.5000  0.5000  0.5000  8 Y 3.30, 4 Re 3.53

Output
crystal system: tetragonal
volume: 107 Å³/f.u.
DFT formation energy: 100.07 kJ/mol of atoms